The following is a DFT calculation (PBE) of a relaxed Mg2PCl crystal.

Cell: 6.9932 6.9932 3.8728 Å, 82.10 82.10 29.15°
Closest atoms and distances in Å follow each position.
Fractional coordinates of all 4 atoms:
P (0.4612, 0.4612, 0.6257)  6 Mg 2.54-2.73
Mg (0.8254, 0.8254, 0.7433)  2 P 2.54, 2 Cl 2.56
Mg (0.0114, 0.0114, 0.1103)  1 Cl 2.55, 4 P 2.68-2.73
Cl (0.2020, 0.2020, 0.0207)  3 Mg 2.55-2.56

E above lowest polymorph (meV per atom): 167
Total DFT energy (no corrections) (Ha/atom): -0.1266
Formation energy without anion corrections (meV per atom): -834.4
Size of the total moment (μB per formula unit): 0.00
Theoretical density (g/cm3): 2.1

The following is a DFT calculation (PBE) of a relaxed MgPCl2 crystal.

Cell: 11.4331 11.4331 11.4331 Å, 17.15 17.15 17.15°
Closest atoms and distances in Å follow each position.
Fractional coordinates of all 4 atoms:
Cl (0.9601, 0.9601, 0.9601)  3 Mg 2.46
Cl (0.5399, 0.5399, 0.5399)  3 Mg 2.46
P (0.7500, 0.7500, 0.7500)  6 P 3.41
Mg (0.2500, 0.2500, 0.2500)  6 Cl 2.46

E above lowest polymorph (meV per atom): 43
Total DFT energy (no corrections) (Ha/atom): -0.1218
Formation energy without anion corrections (meV per atom): -640.8
Size of the total moment (μB per formula unit): 0.99
Theoretical density (g/cm3): 1.8

The following is a DFT calculation (PBE) of a relaxed MgPCl2 crystal.

Cell: 3.4784 5.2571 4.8476 Å, 90.00 90.00 90.00°
Closest atoms and distances in Å follow each position.
Fractional coordinates of all 4 atoms:
Mg (0.0000, 0.0000, 0.6254)  2 Cl 2.41-2.44
P (0.5000, 0.5000, 0.5844)  1 Cl 2.02
Cl (0.0000, 0.0000, 0.1224)  2 Mg 2.41-2.44
Cl (0.5000, 0.5000, 0.1678)  1 P 2.02

E above lowest polymorph (meV per atom): 217
Total DFT energy (no corrections) (Ha/atom): -0.1154
Formation energy without anion corrections (meV per atom): -466.6
Size of the total moment (μB per formula unit): 0.00
Theoretical density (g/cm3): 2.4

The following is a DFT calculation (PBE) of a relaxed MgPCl2 crystal.

Cell: 4.8413 4.7144 4.8404 Å, 66.32 77.44 113.69°
Closest atoms and distances in Å follow each position.
Fractional coordinates of all 4 atoms:
Cl (0.0000, 0.0000, 0.0000)  2 Mg 2.61, 2 P 2.61
Cl (0.5000, 0.0000, 0.5000)  2 P 2.61, 2 Mg 2.61
P (0.5000, 0.5000, 0.0000)  4 Cl 2.61
Mg (0.0000, 0.5000, 0.5000)  4 Cl 2.61

E above lowest polymorph (meV per atom): 290
Total DFT energy (no corrections) (Ha/atom): -0.1127
Formation energy without anion corrections (meV per atom): -393.4
Size of the total moment (μB per formula unit): 0.00
Theoretical density (g/cm3): 2.5

What did the third record say?
The following is a DFT calculation (PBE) of a relaxed MgPCl2 crystal.

Cell: 3.4784 5.2571 4.8476 Å, 90.00 90.00 90.00°
Closest atoms and distances in Å follow each position.
Fractional coordinates of all 4 atoms:
Mg (0.0000, 0.0000, 0.6254)  2 Cl 2.41-2.44
P (0.5000, 0.5000, 0.5844)  1 Cl 2.02
Cl (0.0000, 0.0000, 0.1224)  2 Mg 2.41-2.44
Cl (0.5000, 0.5000, 0.1678)  1 P 2.02

E above lowest polymorph (meV per atom): 217
Total DFT energy (no corrections) (Ha/atom): -0.1154
Formation energy without anion corrections (meV per atom): -466.6
Size of the total moment (μB per formula unit): 0.00
Theoretical density (g/cm3): 2.4